# VAuNF2, relaxed, DFT PBE+U
# Raw total energy: -26.40 eV/cell
# Magnetization: 1.11 μB per cell
# Calculated density: 7.9 g/cm³
# Energy relative to the lowest polymorph listed for this composition: 0.000 eV per formula unit
data_VAuNF2
_symmetry_space_group_name_H-M 'P 4/m m m'
_symmetry_Int_Tables_number 123
_symmetry_space_group_name_Hall '-P 4 2'
_cell_length_a 4.010
_cell_length_b 4.010
_cell_length_c 3.930
_cell_angle_alpha 90.00
_cell_angle_beta 90.00
_cell_angle_gamma 90.00
loop_
_atom_site_label
_atom_site_type_symbol
_atom_site_fract_x
_atom_site_fract_y
_atom_site_fract_z
_atom_site_occupancy
V1 V 0.000 0.000 0.000 1
Au1 Au 0.500 0.500 0.500 1
N1 N 0.000 0.000 0.500 1
F1 F 0.000 0.500 0.000 1